(1)
NaSr3Hg | GGA-PBE | relaxed

- Energy above the most stable polymorph in this dataset: 0.5081 eV/atom
- Energy of formation: 0.33 eV/atom
- Space group: Pm-3m (221)

a b c (Å): 6.489 6.489 6.489
angles (deg): 90.00 90.00 90.00
Positions (direct):
Sr 0.000 0.500 0.000
Sr 0.000 0.000 0.500
Sr 0.500 0.000 0.000
Hg 0.500 0.500 0.500
Na 0.000 0.000 0.000

=====

(2)
Rb2LaC | GGA-PBE | relaxed

- Energy of formation: 0.76 eV/atom
- Space group: I-42d (122)

a b c (Å): 13.525 13.525 9.832
angles (deg): 46.54 46.54 90.00
Last column: magnetic moment on the atom in μB.
Positions (direct):
C 0.500 0.500 0.000  0.19
C 0.250 0.750 0.500  0.19
Rb 0.460 0.125 0.250  0.01
Rb 0.290 0.625 0.250  0.01
Rb 0.375 0.540 0.750  0.01
Rb 0.875 0.710 0.750  0.01
La 0.000 0.000 0.000  0.19
La 0.750 0.250 0.500  0.19

=====

(3)
CeErMg2Hg4 | GGA-PBE | relaxed

- Energy of formation: -0.41 eV/atom
- Space group: R-3m (166)

a b c (Å): 5.103 5.103 8.914
angles (deg): 73.37 73.37 60.00
Last column: magnetic moment on the atom in μB.
Positions (direct):
Ce 0.000 0.000 0.000  0.78
Er 0.500 0.500 0.500  -0.01
Mg 0.751 0.751 0.748  0.00
Mg 0.249 0.249 0.252  0.00
Hg 0.379 0.379 0.864  0.01
Hg 0.872 0.872 0.383  0.01
Hg 0.128 0.128 0.617  0.01
Hg 0.621 0.621 0.136  0.01

=====

(4)
PmDy3Th2 | GGA-PBE | relaxed

- Energy above the most stable polymorph in this dataset: 0.0000 eV/atom
- Energy of formation: 0.04 eV/atom
- Space group: P2_1/m (11)

a b c (Å): 3.578 10.089 10.707
angles (deg): 89.68 90.00 90.00
Positions (direct):
Pm 0.250 0.877 0.750
Pm 0.750 0.123 0.250
Dy 0.750 0.134 0.582
Dy 0.250 0.866 0.418
Dy 0.750 0.625 0.250
Dy 0.250 0.375 0.750
Dy 0.250 0.371 0.083
Dy 0.750 0.629 0.917
Th 0.250 0.380 0.419
Th 0.750 0.620 0.581
Th 0.750 0.124 0.919
Th 0.250 0.876 0.081

=====

(5)
Ba2GaSbTe5 | GGA-PBE | relaxed

- Uncorrected formation energy: -932.4 meV/atom
- Energy above the most stable polymorph in this dataset: 0.0086 eV/atom
- Space group: Cmc2_1 (36)

a b c (Å): 4.544 10.647 13.978
angles (deg): 90.00 90.00 102.32
Positions (direct):
Ba 0.875 0.749 0.811
Ba 0.114 0.227 0.685
Ba 0.125 0.251 0.311
Ba 0.886 0.773 0.185
Ga 0.567 0.134 0.939
Ga 0.433 0.866 0.439
Sb 0.788 0.577 0.524
Sb 0.212 0.423 0.024
Te 0.351 0.702 0.000
Te 0.688 0.376 0.869
Te 0.500 0.000 0.779
Te 0.282 0.565 0.670
Te 0.950 0.900 0.548
Te 0.649 0.298 0.500
Te 0.312 0.624 0.369
Te 0.500 0.000 0.279
Te 0.718 0.435 0.170
Te 0.050 0.100 0.048

=====

(6)
TlCrAgN2 | GGA-PBE | relaxed

- Uncorrected formation energy: 2442.2 meV/atom
- Space group: P4/mmm (123)

a b c (Å): 4.051 5.457 4.051
angles (deg): 90.00 90.00 90.00
Last column: magnetic moment on the atom in μB.
Positions (direct):
Cr 0.500 0.500 0.500  -0.54
Tl 0.000 0.500 0.000  0.03
Ag 0.000 0.000 0.000  -0.01
N 0.000 0.000 0.500  0.00
N 0.500 0.000 0.000  0.03

=====

(7)
KInRu4 | GGA-PBE | relaxed

- Energy of formation: 0.74 eV/atom
- Space group: F-43m (216)

a b c (Å): 5.334 5.334 5.334
angles (deg): 60.00 60.00 60.00
Last column: magnetic moment on the atom in μB.
Positions (direct):
K 0.000 0.000 0.000  0.00
In 0.750 0.750 0.750  -0.04
Ru 0.873 0.376 0.376  0.72
Ru 0.376 0.376 0.873  0.72
Ru 0.376 0.873 0.376  0.72
Ru 0.376 0.376 0.376  0.72

=====

(8)
CeGdBiI | GGA-PBE | relaxed

- Uncorrected formation energy: -773.1 meV/atom
- Space group: F-43m (216)

a b c (Å): 5.546 5.546 5.546
angles (deg): 60.00 60.00 60.00
Last column: magnetic moment on the atom in μB.
Positions (direct):
I 0.750 0.750 0.750  -0.03
Gd 0.000 0.000 0.000  7.34
Bi 0.250 0.250 0.250  -0.07
Ce 0.500 0.500 0.500  1.21

=====

(9)
Sr2CeAlO6 | GGA-PBE | relaxed

- Uncorrected formation energy: -2832.0 meV/atom
- Space group: P2_1/c (14)

a b c (Å): 5.804 5.808 8.202
angles (deg): 90.00 90.42 90.00
Last column: magnetic moment on the atom in μB.
Positions (direct):
Sr 0.007 0.976 0.249  0.00
Sr 0.507 0.524 0.749  0.00
Sr 0.993 0.024 0.751  0.00
Sr 0.493 0.476 0.251  0.00
Ce 0.500 0.000 0.000  -0.04
Ce 0.000 0.500 0.500  -0.04
Al 0.500 0.000 0.500  0.00
Al 0.000 0.500 0.000  0.00
O 0.257 0.708 0.033  0.15
O 0.757 0.792 0.533  0.15
O 0.743 0.292 0.967  0.15
O 0.243 0.208 0.467  0.15
O 0.296 0.742 0.466  0.16
O 0.796 0.758 0.966  0.16
O 0.704 0.258 0.534  0.16
O 0.204 0.242 0.034  0.16
O 0.937 0.513 0.231  0.17
O 0.437 0.987 0.731  0.17
O 0.063 0.487 0.769  0.17
O 0.563 0.013 0.269  0.17

=====

(10)
MnIn2Si | GGA-PBE | relaxed

- Uncorrected formation energy: 393.0 meV/atom
- Energy above the most stable polymorph in this dataset: 0.2425 eV/atom
- Space group: P2/m (10)

a b c (Å): 4.099 3.186 6.716
angles (deg): 62.17 90.00 90.00
Last column: magnetic moment on the atom in μB.
Positions (direct):
In 0.000 0.994 0.004  -0.06
In 0.000 0.506 0.496  -0.06
Mn 0.500 0.250 0.250  3.44
Si 0.500 0.750 0.750  0.01

=====

(11)
HfNi2HRu | GGA-PBE | relaxed

- Energy above the most stable polymorph in this dataset: 0.0000 eV/atom
- Space group: P4/mmm (123)

a b c (Å): 3.805 3.805 3.944
angles (deg): 90.00 90.00 90.00
Positions (direct):
Ru 0.000 0.000 0.500
Hf 0.500 0.500 0.500
H 0.000 0.000 0.000
Ni 0.000 0.500 0.000
Ni 0.500 0.000 0.000

=====

(12)
Tb4Co3Cu | GGA-PBE | relaxed

- Energy of formation: -0.19 eV/atom
- Space group: Pmm2 (25)

a b c (Å): 3.960 3.994 10.437
angles (deg): 90.00 90.00 90.00
Last column: magnetic moment on the atom in μB.
Positions (direct):
Co 0.000 0.500 0.556  0.69
Co 0.000 0.000 0.444  0.75
Co 0.500 0.000 0.930  0.04
Tb 0.500 0.500 0.363  -0.13
Tb 0.000 0.500 0.855  -0.01
Tb 0.000 0.000 0.141  -0.02
Tb 0.500 0.000 0.644  -0.11
Cu 0.500 0.500 0.067  0.00